(1)
This record from Alexandria via LeMat-Bulk describes an optimized crystal structure of Zr2GeHF. The functional is GGA-PBEsol.

Values from the calculation:
energy = -5.564 eV per atom

Unit cell a=5.203 b=5.203 c=3.222 alpha=90.00 beta=90.00 gamma=90.00
Space group P4/mmm (No. 123)
Unique sites:
1 Zr 0.000 0.500 0.000 [2 per cell]
2 Ge 0.000 0.000 0.000 [1 per cell]
3 H 0.000 0.000 0.500 [1 per cell]
4 F 0.500 0.500 0.500 [1 per cell]

=====

(2)
This record from Alexandria via LeMat-Bulk describes an optimized crystal structure of Hf3GeF. The functional is GGA-PBEsol.

Values from the calculation:
energy = -8.166 eV per atom

Unit cell a=4.386 b=4.386 c=4.386 alpha=90.00 beta=90.00 gamma=90.00
Space group Pm-3m (No. 221)
Unique sites:
1 Hf 0.000 0.000 0.500 [3 per cell]
2 Ge 0.500 0.500 0.500 [1 per cell]
3 F 0.000 0.000 0.000 [1 per cell]

=====

no.,total moment (μB per cell),calculated volume (Å³ per atom),calculated density (g/cm³)
1,0.00,17.45,5.2
2,0.00,16.88,12.3